Entry from Alexandria: a geometry-optimized HfCuH2Cl structure (GGA-PBE).

Lattice parameters (Å, degrees): 3.5685 3.5685 5.2197 90.00 90.00 90.00
Space group P4/mmm (No. 123)
Asymmetric unit:
Hf  0.0000  0.0000  0.0000
Cu  0.0000  0.0000  0.5000
H  0.0000  0.5000  0.5000
Cl  0.5000  0.5000  0.0000

Calculated values
- M_tot: 0.00 μB per formula unit
- ρ: 6.98 g/cm3
- Electronic total energy: -4.34 eV/atom

Entry from Alexandria: a geometry-optimized CuHIrCl2 structure (GGA-PBE).

Lattice parameters (Å, degrees): 4.7888 4.7888 3.0568 90.00 90.00 90.00
Space group P4/mmm (No. 123)
Asymmetric unit:
Cu  0.0000  0.0000  0.0000
H  0.0000  0.0000  0.5000
Ir  0.5000  0.5000  0.0000
Cl  0.0000  0.5000  0.5000

Calculated values
- M_tot: 0.00 μB per formula unit
- ρ: 7.76 g/cm3
- Electronic total energy: -3.13 eV/atom

Look up the electronic total energy of the second one.
-3.13 eV/atom

The highest electronic total energy belongs to which entry?
CuHIrCl2